(1)
# AuCN2O GGA-PBE relaxed
# Total energy = -0.337 Ry per atom
# Calculated volume = 43.8 Å³/cell
# Fermi-level density of states = 3.3 states/eV/f.u.
# Formation energy without anion corrections = 2.2387 eV/atom
data_AuCN2O
_cell_length_a 3.8808
_cell_length_b 3.8808
_cell_length_c 2.9088
_cell_angle_alpha 90.00
_cell_angle_beta 90.00
_cell_angle_gamma 90.00
_symmetry_space_group_name_H-M 'P 1'
_symmetry_Int_Tables_number 1
_symmetry_space_group_name_Hall 'P 1'
loop_
_atom_site_label
_atom_site_fract_x
_atom_site_fract_y
_atom_site_fract_z
N1 0.5000 0.0000 0.0000
N2 0.0000 0.5000 0.0000
O1 0.0000 0.0000 0.5000
Au1 0.5000 0.5000 0.5000
C1 0.0000 0.0000 0.0000

(2)
# AuC4N4O2 GGA-PBE relaxed
# Total energy = -0.470 Ry per atom
# Calculated volume = 401.6 Å³/cell
# Fermi-level density of states = 0.0 states/eV/f.u.
# Formation energy without anion corrections = 1.1865 eV/atom
data_AuC4N4O2
_cell_length_a 7.9006
_cell_length_b 6.6177
_cell_length_c 7.7108
_cell_angle_alpha 95.10
_cell_angle_beta 90.00
_cell_angle_gamma 90.00
_symmetry_space_group_name_H-M 'P 1'
_symmetry_Int_Tables_number 1
_symmetry_space_group_name_Hall 'P 1'
loop_
_atom_site_label
_atom_site_fract_x
_atom_site_fract_y
_atom_site_fract_z
N1 0.7087 0.6017 0.5598
N2 0.1322 0.8213 0.6283
N3 0.8678 0.1787 0.3717
N4 0.2087 0.3983 0.9402
N5 0.6322 0.1787 0.8717
N6 0.3678 0.8213 0.1283
N7 0.7913 0.6017 0.0598
N8 0.2913 0.3983 0.4402
C1 0.8658 0.7486 0.0351
C2 0.1342 0.2514 0.9649
C3 0.0786 0.8807 0.7648
C4 0.6342 0.7486 0.5351
C5 0.4214 0.8807 0.2648
C6 0.9214 0.1193 0.2352
C7 0.5786 0.1193 0.7352
C8 0.3658 0.2514 0.4649
O1 0.4352 0.5866 0.9183
O2 0.9352 0.4134 0.5817
O3 0.5648 0.4134 0.0817
O4 0.0648 0.5866 0.4183
Au1 0.5000 0.0000 0.5000
Au2 0.0000 0.0000 0.0000

(3)
# AuCNO2 GGA-PBE relaxed
# Total energy = -0.266 Ry per atom
# Calculated volume = 66.6 Å³/cell
# Fermi-level density of states = 3.6 states/eV/f.u.
# Formation energy without anion corrections = 2.5228 eV/atom
data_AuCNO2
_cell_length_a 4.0561
_cell_length_b 4.0561
_cell_length_c 4.0461
_cell_angle_alpha 90.00
_cell_angle_beta 90.00
_cell_angle_gamma 90.00
_symmetry_space_group_name_H-M 'P 1'
_symmetry_Int_Tables_number 1
_symmetry_space_group_name_Hall 'P 1'
loop_
_atom_site_label
_atom_site_fract_x
_atom_site_fract_y
_atom_site_fract_z
C1 0.5000 0.5000 0.5000
O1 0.5000 0.0000 0.0000
O2 0.0000 0.5000 0.0000
N1 0.0000 0.0000 0.5000
Au1 0.0000 0.0000 0.0000

(4)
# Pm2AuC2N6 GGA-PBE relaxed
# Total energy = -0.548 Ry per atom
# Calculated volume = 182.8 Å³/cell
# Fermi-level density of states = 2.3 states/eV/f.u.
# Formation energy without anion corrections = -0.0719 eV/atom
data_Pm2AuC2N6
_cell_length_a 5.1217
_cell_length_b 6.4805
_cell_length_c 6.4000
_cell_angle_alpha 110.77
_cell_angle_beta 86.51
_cell_angle_gamma 70.13
_symmetry_space_group_name_H-M 'P 1'
_symmetry_Int_Tables_number 1
_symmetry_space_group_name_Hall 'P 1'
loop_
_atom_site_label
_atom_site_fract_x
_atom_site_fract_y
_atom_site_fract_z
N1 0.8983 0.1285 0.3480
N2 0.0606 0.5989 0.8344
N3 0.6179 0.3837 0.1573
N4 0.3821 0.6163 0.8427
N5 0.9394 0.4011 0.1656
N6 0.1017 0.8715 0.6520
C1 0.8311 0.2708 0.2434
C2 0.1689 0.7292 0.7566
Pm1 0.1397 0.7114 0.2355
Pm2 0.8603 0.2886 0.7645
Au1 0.5000 0.0000 0.5000

(5)
# Pr2AuC2N6 GGA-PBE relaxed
# Total energy = -0.546 Ry per atom
# Calculated volume = 190.2 Å³/cell
# Fermi-level density of states = 2.3 states/eV/f.u.
# Formation energy without anion corrections = -0.0449 eV/atom
data_Pr2AuC2N6
_cell_length_a 5.1770
_cell_length_b 6.5452
_cell_length_c 6.4762
_cell_angle_alpha 109.89
_cell_angle_beta 86.20
_cell_angle_gamma 70.36
_symmetry_space_group_name_H-M 'P 1'
_symmetry_Int_Tables_number 1
_symmetry_space_group_name_Hall 'P 1'
loop_
_atom_site_label
_atom_site_fract_x
_atom_site_fract_y
_atom_site_fract_z
Pr1 0.1395 0.7116 0.2361
Pr2 0.8605 0.2884 0.7639
C1 0.1711 0.7293 0.7560
C2 0.8289 0.2707 0.2440
N1 0.8956 0.1290 0.3473
N2 0.6184 0.3829 0.1585
N3 0.0643 0.5992 0.8336
N4 0.9357 0.4008 0.1664
N5 0.3816 0.6171 0.8415
N6 0.1044 0.8710 0.6527
Au1 0.5000 0.0000 0.5000

(6)
# AuCS2N GGA-PBE relaxed
# Total energy = -0.359 Ry per atom
# Energy relative to the lowest polymorph listed for this composition = 0.000 eV per atom
# Calculated volume = 82.1 Å³/cell
# Fermi-level density of states = 2.7 states/eV/f.u.
# Formation energy without anion corrections = 0.9253 eV/atom
data_AuCS2N
_cell_length_a 5.7791
_cell_length_b 5.7791
_cell_length_c 2.4591
_cell_angle_alpha 90.00
_cell_angle_beta 90.00
_cell_angle_gamma 90.00
_symmetry_space_group_name_H-M 'P 1'
_symmetry_Int_Tables_number 1
_symmetry_space_group_name_Hall 'P 1'
loop_
_atom_site_label
_atom_site_fract_x
_atom_site_fract_y
_atom_site_fract_z
C1 0.0000 0.0000 0.0000
S1 0.5000 0.0000 0.0000
S2 0.0000 0.5000 0.0000
N1 0.0000 0.0000 0.5000
Au1 0.5000 0.5000 0.5000